Entry 1:
Below is a relaxed Ac4Br3N2 crystal, with properties calculated at the PBE level.

a = 8.1959 Å, b = 8.1959 Å, c = 10.5004 Å
α = 118.78°, β = 118.78°, γ = 29.58°
With the nearest neighbours (Å) after each atom.
Sites, in units of the cell vectors:
Ac 0.0016 0.0016 0.2731  1 N 2.31
Ac 0.2582 0.2582 0.6567  3 N 2.48-2.52
Ac 0.7418 0.7418 0.3433  3 N 2.48-2.52
Ac 0.9984 0.9984 0.7269  1 N 2.31
Br 0.3124 0.3124 0.1694  4 Ac 3.32-3.36
Br 0.5000 0.5000 0.0000  6 Ac 3.54-3.73
Br 0.6876 0.6876 0.8306  4 Ac 3.32-3.36
N 0.1693 0.1693 0.3841  4 Ac 2.31-2.52
N 0.8308 0.8308 0.6159  4 Ac 2.31-2.52

Output
ΔE_f (raw) in eV/atom: -1.438
E above lowest polymorph in meV per atom: 0
Space group: C2/m


Entry 2:
Below is a relaxed Ac2BrN2 crystal, with properties calculated at the PBE level.

a = 4.2299 Å, b = 4.2299 Å, c = 8.0727 Å
α = 90.00°, β = 90.00°, γ = 120.00°
With the nearest neighbours (Å) after each atom.
Sites, in units of the cell vectors:
Ac 0.3333 0.6667 0.3081  4 N 2.51-2.54
Ac 0.6667 0.3333 0.6919  4 N 2.51-2.54
Br 0.0000 0.0000 0.0000  6 Ac 3.49
N 0.3333 0.6667 0.6222  4 Ac 2.51-2.54
N 0.6667 0.3333 0.3778  4 Ac 2.51-2.54

Output
ΔE_f (raw) in eV/atom: -1.290
E above lowest polymorph in meV per atom: 0
Space group: P-3m1


Entry 3:
Below is a relaxed Ac4BrN3 crystal, with properties calculated at the PBE level.

a = 3.9120 Å, b = 3.9120 Å, c = 28.7600 Å
α = 90.00°, β = 90.00°, γ = 120.00°
With the nearest neighbours (Å) after each atom.
Sites, in units of the cell vectors:
Ac 0.0000 0.0000 0.1611  3 N 2.59
Ac 0.0000 0.0000 0.3389  3 N 2.59
Ac 0.0000 0.0000 0.6611  3 N 2.59
Ac 0.0000 0.0000 0.8389  3 N 2.59
Ac 0.3333 0.6667 0.0538  6 N 2.74-2.90
Ac 0.3333 0.6667 0.4462  6 N 2.74-2.90
Ac 0.6667 0.3333 0.5538  6 N 2.74-2.90
Ac 0.6667 0.3333 0.9462  6 N 2.74-2.90
Br 0.3333 0.6667 0.2500  6 Ac 3.41
Br 0.6667 0.3333 0.7500  6 Ac 3.41
N 0.0000 0.0000 0.0000  6 Ac 2.74
N 0.0000 0.0000 0.5000  6 Ac 2.74
N 0.3333 0.6667 0.6171  6 Ac 2.59-2.90
N 0.3333 0.6667 0.8829  6 Ac 2.59-2.90
N 0.6667 0.3333 0.1171  6 Ac 2.59-2.90
N 0.6667 0.3333 0.3829  6 Ac 2.59-2.90

Output
ΔE_f (raw) in eV/atom: -1.176
Space group: P6_3/mmc


Entry 4:
Below is a relaxed Ac2Br2N crystal, with properties calculated at the PBE level.

a = 9.4273 Å, b = 7.9862 Å, c = 7.8728 Å
α = 90.00°, β = 92.34°, γ = 90.00°
With the nearest neighbours (Å) after each atom.
Sites, in units of the cell vectors:
Ac 0.0858 0.1264 0.3272  2 N 2.51-2.52
Ac 0.0858 0.3736 0.8272  2 N 2.51-2.52
Ac 0.3376 0.5502 0.1975  1 N 2.34
Ac 0.3376 0.9498 0.6975  1 N 2.34
Ac 0.6624 0.0502 0.3025  1 N 2.34
Ac 0.6624 0.4498 0.8025  1 N 2.34
Ac 0.9142 0.6264 0.1728  2 N 2.51-2.52
Ac 0.9142 0.8736 0.6728  2 N 2.51-2.52
Br 0.1631 0.6404 0.5332  4 Ac 3.21-3.25, 1 N 3.55
Br 0.1631 0.8596 0.0332  4 Ac 3.21-3.25, 1 N 3.55
Br 0.4221 0.2126 0.9896  4 Ac 3.19-3.53
Br 0.4221 0.2874 0.4896  4 Ac 3.19-3.53
Br 0.5779 0.7126 0.5104  4 Ac 3.19-3.53
Br 0.5779 0.7874 0.0104  4 Ac 3.19-3.53
Br 0.8369 0.1404 0.9668  4 Ac 3.21-3.25, 1 N 3.55
Br 0.8369 0.3596 0.4668  4 Ac 3.21-3.25, 1 N 3.55
N 0.1164 0.0760 0.6409  3 Ac 2.34-2.52
N 0.1164 0.4240 0.1409  3 Ac 2.34-2.52
N 0.8836 0.5760 0.8591  3 Ac 2.34-2.52
N 0.8836 0.9240 0.3591  3 Ac 2.34-2.52

Output
ΔE_f (raw) in eV/atom: -1.524
E above lowest polymorph in meV per atom: 37
Space group: P2_1/c


Entry 5:
Below is a relaxed Ac2Br2N crystal, with properties calculated at the PBE level.

a = 9.6537 Å, b = 9.6537 Å, c = 8.1113 Å
α = 90.00°, β = 90.00°, γ = 155.59°
With the nearest neighbours (Å) after each atom.
Sites, in units of the cell vectors:
Ac 0.0284 0.9716 0.5000  2 N 2.52-2.60
Ac 0.3538 0.6462 0.3387  2 N 2.46
Ac 0.6462 0.3538 0.8387  2 N 2.46
Ac 0.9716 0.0284 0.0000  2 N 2.52-2.60
Br 0.2648 0.7352 0.0093  3 Ac 3.16-3.33
Br 0.4141 0.5859 0.7024  5 Ac 3.16-3.39
Br 0.5859 0.4141 0.2024  5 Ac 3.16-3.39
Br 0.7352 0.2648 0.5093  3 Ac 3.16-3.33
N 0.0747 0.9253 0.8022  4 Ac 2.46-2.60
N 0.9253 0.0747 0.3022  4 Ac 2.46-2.60

Output
ΔE_f (raw) in eV/atom: -1.561
E above lowest polymorph in meV per atom: 0
Space group: Cmc2_1


Entry 6:
Below is a relaxed Ac2BrN crystal, with properties calculated at the PBE level.

a = 3.9346 Å, b = 3.9346 Å, c = 23.7046 Å
α = 90.00°, β = 90.00°, γ = 120.00°
With the nearest neighbours (Å) after each atom.
Sites, in units of the cell vectors:
Ac 0.0000 0.0000 0.2277  3 N 2.69
Ac 0.0000 0.0000 0.7723  3 N 2.69
Ac 0.3333 0.6667 0.4390  3 N 2.69
Ac 0.3333 0.6667 0.8943  3 N 2.69
Ac 0.6667 0.3333 0.1057  3 N 2.69
Ac 0.6667 0.3333 0.5610  3 N 2.69
Br 0.0000 0.0000 0.0000  6 Ac 3.38
Br 0.3333 0.6667 0.6667  6 Ac 3.38
Br 0.6667 0.3333 0.3333  6 Ac 3.38
N 0.0000 0.0000 0.5000  6 Ac 2.69
N 0.3333 0.6667 0.1667  6 Ac 2.69
N 0.6667 0.3333 0.8333  6 Ac 2.69

Output
ΔE_f (raw) in eV/atom: -1.255
E above lowest polymorph in meV per atom: 0
Space group: R-3m


Entry 7:
Below is a relaxed Ac2BrN2 crystal, with properties calculated at the PBE level.

a = 5.2322 Å, b = 5.2322 Å, c = 4.9012 Å
α = 90.00°, β = 90.00°, γ = 120.00°
With the nearest neighbours (Å) after each atom.
Sites, in units of the cell vectors:
Ac 0.3333 0.6667 0.2434  2 N 2.35-2.55
Ac 0.6667 0.3333 0.7566  2 N 2.35-2.55
Br 0.0000 0.0000 0.0000  6 Ac 3.25, 6 N 3.31
N 0.3333 0.6667 0.7238  2 Ac 2.35-2.55
N 0.6667 0.3333 0.2762  2 Ac 2.35-2.55

Output
ΔE_f (raw) in eV/atom: -0.928
E above lowest polymorph in meV per atom: 362
Space group: P-3m1


Entry 8:
Below is a relaxed AcBr3N crystal, with properties calculated at the PBE level.

a = 7.3967 Å, b = 8.1735 Å, c = 8.1965 Å
α = 60.38°, β = 76.25°, γ = 82.36°
With the nearest neighbours (Å) after each atom.
Sites, in units of the cell vectors:
Ac 0.0564 0.1708 0.1623  1 N 2.72
Ac 0.9436 0.8292 0.8377  1 N 2.72
Br 0.2093 0.8318 0.0864  1 N 2.64
Br 0.2109 0.1236 0.4967  2 Ac 3.05-3.08, 1 N 3.35
Br 0.2167 0.5274 0.7987  2 Ac 3.07, 1 N 3.24
Br 0.7833 0.4726 0.2013  2 Ac 3.07, 1 N 3.24
Br 0.7891 0.8764 0.5033  2 Ac 3.05-3.08, 1 N 3.35
Br 0.7907 0.1682 0.9136  1 N 2.64
N 0.4348 0.1592 0.0743  1 Br 2.64, 1 Ac 2.72
N 0.5652 0.8408 0.9257  1 Br 2.64, 1 Ac 2.72

Output
ΔE_f (raw) in eV/atom: -0.588
Space group: P-1


Entry 9:
Below is a relaxed Ac2BrN crystal, with properties calculated at the PBE level.

a = 3.9147 Å, b = 3.9147 Å, c = 24.0964 Å
α = 90.00°, β = 90.00°, γ = 120.00°
With the nearest neighbours (Å) after each atom.
Sites, in units of the cell vectors:
Ac 0.0000 0.0000 0.0000  3 N 2.69
Ac 0.0000 0.0000 0.2111  3 N 2.70
Ac 0.3333 0.6667 0.6667  3 N 2.69
Ac 0.3333 0.6667 0.8778  3 N 2.70
Ac 0.6667 0.3333 0.3333  3 N 2.69
Ac 0.6667 0.3333 0.5445  3 N 2.70
Br 0.0000 0.0000 0.7730  6 Ac 3.39-3.42
Br 0.3333 0.6667 0.4396  6 Ac 3.39-3.42
Br 0.6667 0.3333 0.1063  6 Ac 3.39-3.42
N 0.0000 0.0000 0.6059  6 Ac 2.69-2.70
N 0.3333 0.6667 0.2726  6 Ac 2.69-2.70
N 0.6667 0.3333 0.9393  6 Ac 2.69-2.70

Output
ΔE_f (raw) in eV/atom: -1.237
E above lowest polymorph in meV per atom: 18
Space group: R3m


Entry 10:
Below is a relaxed Ac2BrN crystal, with properties calculated at the PBE level.

a = 3.5158 Å, b = 3.5158 Å, c = 7.6611 Å
α = 90.00°, β = 90.00°, γ = 90.00°
With the nearest neighbours (Å) after each atom.
Sites, in units of the cell vectors:
Ac 0.0000 0.0000 0.2104  4 N 2.96, 1 Ac 3.22
Ac 0.0000 0.0000 0.7896  4 N 2.96, 1 Ac 3.22
Br 0.5000 0.5000 0.5000  8 Ac 3.33, 4 Br 3.52
N 0.5000 0.5000 0.0000  8 Ac 2.96

Output
ΔE_f (raw) in eV/atom: -0.622
E above lowest polymorph in meV per atom: 633
Space group: P4/mmm


Entry 11:
Below is a relaxed Ac3Br2N2 crystal, with properties calculated at the PBE level.

a = 3.8169 Å, b = 6.8239 Å, c = 8.1170 Å
α = 100.24°, β = 90.03°, γ = 106.14°
With the nearest neighbours (Å) after each atom.
Sites, in units of the cell vectors:
Ac 0.0000 0.0000 0.0000  4 N 2.71-2.72
Ac 0.2244 0.4481 0.7976  3 N 2.46-2.64
Ac 0.7756 0.5519 0.2024  3 N 2.46-2.64
Br 0.1201 0.2382 0.3789  4 Ac 3.18-3.42
Br 0.8799 0.7618 0.6211  4 Ac 3.18-3.42
N 0.3613 0.7224 0.0493  5 Ac 2.46-2.72
N 0.6387 0.2776 0.9507  5 Ac 2.46-2.72

Output
ΔE_f (raw) in eV/atom: -1.417
E above lowest polymorph in meV per atom: 63
Space group: P-1


Entry 12:
Below is a relaxed AcBr2N2 crystal, with properties calculated at the PBE level.

a = 5.5657 Å, b = 6.0859 Å, c = 9.3761 Å
α = 74.38°, β = 84.51°, γ = 87.46°
With the nearest neighbours (Å) after each atom.
Sites, in units of the cell vectors:
Ac 0.0304 0.1404 0.2313  3 N 2.65-2.83
Ac 0.9696 0.8596 0.7687  3 N 2.65-2.83
Br 0.0610 0.2933 0.8768  3 Ac 3.15-3.35, 2 N 3.45-3.50
Br 0.2159 0.7572 0.4874  2 Ac 3.06-3.08
Br 0.7841 0.2428 0.5126  2 Ac 3.06-3.08
Br 0.9390 0.7067 0.1232  3 Ac 3.15-3.35, 2 N 3.45-3.50
N 0.4452 0.3547 0.1531  1 N 1.18
N 0.4607 0.8264 0.8064  1 N 1.18
N 0.5393 0.1736 0.1936  1 N 1.18
N 0.5548 0.6453 0.8469  1 N 1.18

Output
ΔE_f (raw) in eV/atom: -1.046
Space group: P-1


Entry 13:
Below is a relaxed AcNdBrN crystal, with properties calculated at the PBE level.

a = 3.7969 Å, b = 3.8078 Å, c = 8.1261 Å
α = 90.17°, β = 103.47°, γ = 119.77°
With the nearest neighbours (Å) after each atom.
Sites, in units of the cell vectors:
Ac 0.0000 0.0000 0.0000  3 N 2.74-2.75
Nd 0.5742 0.7867 0.3631  3 N 2.50-2.51
Br 0.4371 0.2194 0.6573  3 Nd 3.18-3.19, 3 Ac 3.46-3.47
N 0.8060 0.4021 0.2100  3 Nd 2.50-2.51, 3 Ac 2.74-2.75

Output
ΔE_f (raw) in eV/atom: -1.308
Space group: P1


Entry 14:
Below is a relaxed Ac2BrNO crystal, with properties calculated at the PBE level.

a = 4.2915 Å, b = 4.2915 Å, c = 14.0031 Å
α = 90.00°, β = 90.00°, γ = 90.00°
With the nearest neighbours (Å) after each atom.
Sites, in units of the cell vectors:
Ac 0.0000 0.0000 0.1652  2 O 2.45, 2 N 2.45
Ac 0.0000 0.0000 0.8348  2 O 2.45, 2 N 2.45
Ac 0.5000 0.5000 0.3348  2 O 2.45, 2 N 2.45
Ac 0.5000 0.5000 0.6652  2 O 2.45, 2 N 2.45
Br 0.0000 0.0000 0.5000  8 Ac 3.82, 4 O 4.11, 4 N 4.11
Br 0.5000 0.5000 0.0000  8 Ac 3.82, 4 O 4.11, 4 N 4.11
N 0.0000 0.5000 0.7500  4 Ac 2.45
N 0.5000 0.0000 0.2500  4 Ac 2.45
O 0.0000 0.5000 0.2500  4 Ac 2.45
O 0.5000 0.0000 0.7500  4 Ac 2.45

Output
ΔE_f (raw) in eV/atom: -2.233
Space group: I-4m2


Entry 15:
Below is a relaxed Ac4OsBr2N crystal, with properties calculated at the PBE level.

a = 7.1209 Å, b = 4.2057 Å, c = 8.5325 Å
α = 90.00°, β = 106.70°, γ = 90.00°
With the nearest neighbours (Å) after each atom.
Sites, in units of the cell vectors:
Ac 0.2220 0.0000 0.1872  2 N 2.83, 1 Os 2.88
Ac 0.2414 0.5000 0.8124  1 N 2.66, 2 Os 2.95
Ac 0.7586 0.5000 0.1876  1 N 2.66, 2 Os 2.95
Ac 0.7780 0.0000 0.8128  2 N 2.83, 1 Os 2.88
Os 0.5000 0.0000 0.0000  6 Ac 2.88-2.95
Br 0.0000 0.0000 0.5000  6 Ac 3.44-3.47
Br 0.5000 0.5000 0.5000  6 Ac 3.53-3.65
N 0.0000 0.5000 0.0000  6 Ac 2.66-2.83

Output
ΔE_f (raw) in eV/atom: -0.945
Space group: P2/m


Entry 16:
Below is a relaxed Ac8P3Br4N crystal, with properties calculated at the PBE level.

a = 9.1309 Å, b = 9.1309 Å, c = 9.1309 Å
α = 56.49°, β = 56.49°, γ = 56.49°
With the nearest neighbours (Å) after each atom.
Sites, in units of the cell vectors:
Ac 0.2369 0.2369 0.2369  3 P 2.97
Ac 0.2600 0.7192 0.7192  1 N 2.75, 2 P 3.01
Ac 0.2808 0.2808 0.7400  1 N 2.75, 2 P 3.01
Ac 0.2808 0.7400 0.2808  1 N 2.75, 2 P 3.01
Ac 0.7192 0.2600 0.7192  1 N 2.75, 2 P 3.01
Ac 0.7192 0.7192 0.2600  1 N 2.75, 2 P 3.01
Ac 0.7400 0.2808 0.2808  1 N 2.75, 2 P 3.01
Ac 0.7631 0.7631 0.7631  3 P 2.97
P 0.0000 0.0000 0.5000  6 Ac 2.97-3.01
P 0.0000 0.5000 0.0000  6 Ac 2.97-3.01
P 0.5000 0.0000 0.0000  6 Ac 2.97-3.01
Br 0.0000 0.0000 0.0000  6 Ac 3.55
Br 0.0000 0.5000 0.5000  6 Ac 3.33
Br 0.5000 0.0000 0.5000  6 Ac 3.33
Br 0.5000 0.5000 0.0000  6 Ac 3.33
N 0.5000 0.5000 0.5000  6 Ac 2.75

Output
ΔE_f (raw) in eV/atom: -1.382
Space group: R-3m


Entry 17:
Below is a relaxed Ac4PBr2N crystal, with properties calculated at the PBE level.

a = 7.3417 Å, b = 4.1361 Å, c = 8.1441 Å
α = 90.00°, β = 106.81°, γ = 90.00°
With the nearest neighbours (Å) after each atom.
Sites, in units of the cell vectors:
Ac 0.2083 0.0000 0.1899  2 N 2.76, 1 P 2.98
Ac 0.2378 0.5000 0.8017  1 N 2.70, 2 P 2.97
Ac 0.7622 0.5000 0.1983  1 N 2.70, 2 P 2.97
Ac 0.7917 0.0000 0.8101  2 N 2.76, 1 P 2.98
P 0.5000 0.0000 0.0000  6 Ac 2.97-2.98
Br 0.0000 0.0000 0.5000  6 Ac 3.30-3.31
Br 0.5000 0.5000 0.5000  6 Ac 3.48-3.53
N 0.0000 0.5000 0.0000  6 Ac 2.70-2.76

Output
ΔE_f (raw) in eV/atom: -1.316
Space group: P2/m


Entry 18:
Below is a relaxed Ac3PbBrN crystal, with properties calculated at the PBE level.

a = 10.0837 Å, b = 4.2666 Å, c = 10.1306 Å
α = 90.00°, β = 106.33°, γ = 90.00°
With the nearest neighbours (Å) after each atom.
Sites, in units of the cell vectors:
Ac 0.0228 0.2500 0.1573  3 N 2.48-2.52
Ac 0.2065 0.7500 0.5538  2 Pb 3.35, 2 Br 3.42
Ac 0.3547 0.7500 0.1033  1 N 2.34
Ac 0.6453 0.2500 0.8967  1 N 2.34
Ac 0.7935 0.2500 0.4462  2 Pb 3.35, 2 Br 3.42
Ac 0.9772 0.7500 0.8427  3 N 2.48-2.52
Pb 0.2749 0.2500 0.8189  7 Ac 3.35-3.74
Pb 0.7251 0.7500 0.1811  7 Ac 3.35-3.74
Br 0.3536 0.2500 0.3715  5 Ac 3.42-3.46, 2 N 3.83
Br 0.6464 0.7500 0.6285  5 Ac 3.42-3.46, 2 N 3.83
N 0.1181 0.7500 0.0869  4 Ac 2.34-2.52
N 0.8819 0.2500 0.9131  4 Ac 2.34-2.52

Output
ΔE_f (raw) in eV/atom: -0.992
Space group: P2_1/m


Entry 19:
Below is a relaxed AcPmBrN crystal, with properties calculated at the PBE level.

a = 3.7810 Å, b = 3.7921 Å, c = 8.1131 Å
α = 90.16°, β = 103.43°, γ = 119.80°
With the nearest neighbours (Å) after each atom.
Sites, in units of the cell vectors:
Ac 0.0000 0.0000 0.0000  3 N 2.76-2.78
Pm 0.5737 0.7865 0.3627  3 N 2.46-2.47
Br 0.4347 0.2180 0.6537  3 Pm 3.15-3.16, 3 Ac 3.48
N 0.8106 0.4043 0.2171  3 Pm 2.46-2.47

Output
ΔE_f (raw) in eV/atom: -1.320
Space group: P1


Entry 20:
Below is a relaxed AcPrBrN crystal, with properties calculated at the PBE level.

a = 3.8121 Å, b = 3.8233 Å, c = 8.1410 Å
α = 103.55°, β = 90.09°, γ = 119.75°
With the nearest neighbours (Å) after each atom.
Sites, in units of the cell vectors:
Ac 0.0000 0.0000 0.0000  3 N 2.71-2.73
Pr 0.7889 0.5766 0.3636  3 N 2.54-2.55
Br 0.2212 0.4399 0.6608  3 Pr 3.21, 3 Ac 3.45-3.46
N 0.4014 0.8028 0.2027  3 Pr 2.54-2.55, 3 Ac 2.71-2.73

Output
ΔE_f (raw) in eV/atom: -1.300
Space group: P1


Number 1: raw total energy -5.672 eV per atom. Number 2: raw total energy -6.598 eV per atom. Number 3: raw total energy -6.562 eV per atom. Number 4: raw total energy -5.501 eV per atom. Number 5: raw total energy -5.539 eV per atom. Number 6: raw total energy -5.809 eV per atom. Number 7: raw total energy -6.236 eV per atom. Number 8: raw total energy -4.079 eV per atom. Number 9: raw total energy -5.790 eV per atom. Number 10: raw total energy -5.176 eV per atom. Number 11: raw total energy -6.035 eV per atom. Number 12: raw total energy -5.867 eV per atom. Number 13: raw total energy -6.027 eV per atom. Number 14: raw total energy -6.868 eV per atom. Number 15: raw total energy -5.861 eV per atom. Number 16: raw total energy -5.389 eV per atom. Number 17: raw total energy -5.506 eV per atom. Number 18: raw total energy -5.331 eV per atom. Number 19: raw total energy -6.035 eV per atom. Number 20: raw total energy -6.021 eV per atom.